A relaxed NbTlPb3 crystal. Source: Alexandria via LeMat-Bulk, functional GGA-PBE.

Lattice parameters (Å, degrees): 5.679 5.679 5.679 90.00 90.00 90.00
Space group Pm-3m (No. 221)
Inequivalent atoms, fractional coordinates:
Nb 0.000 0.000 0.000 x1
Tl 0.500 0.500 0.500 x1
Pb 0.000 0.500 0.500 x3

Calculated values
Crystal system: cubic
Energy relative to the elements in meV/atom: 1527.6
Excess energy over the best structure of this formula in the dataset in eV/atom: 1.1925

A relaxed InAu6 crystal. Source: Alexandria via LeMat-Bulk, functional GGA-PBE.

Lattice parameters (Å, degrees): 4.064 4.064 8.519 90.00 90.00 90.00
Space group P4/mmm (No. 123)
Inequivalent atoms, fractional coordinates:
In 0.000 0.000 0.000 x1
Au 0.000 0.000 0.500 x1
Au 0.000 0.500 0.265 x4
Au 0.500 0.500 0.000 x1

Calculated values
Crystal system: tetragonal
Energy relative to the elements in meV/atom: 11.3
Excess energy over the best structure of this formula in the dataset in eV/atom: 0.0144

A relaxed BaMg14C crystal. Source: Alexandria via LeMat-Bulk, functional GGA-PBE.

Lattice parameters (Å, degrees): 10.309 6.059 12.224 90.00 90.00 90.00
Space group Amm2 (No. 38)
Inequivalent atoms, fractional coordinates:
Ba 0.000 0.000 0.000 x2
Mg 0.000 0.236 0.259 x4
Mg 0.204 0.000 0.615 x4
Mg 0.257 0.244 0.381 x8
Mg 0.271 0.000 0.145 x4
Mg 0.500 0.000 0.491 x2
Mg 0.500 0.000 0.974 x2
Mg 0.500 0.244 0.732 x4
C 0.000 0.000 0.400 x2

Calculated values
Crystal system: orthorhombic
Energy relative to the elements in meV/atom: 257.6
Excess energy over the best structure of this formula in the dataset in eV/atom: 0.0000

A relaxed Sr4Ca5Mg2 crystal. Source: Alexandria via LeMat-Bulk, functional GGA-PBE.

Lattice parameters (Å, degrees): 9.607 4.024 12.388 90.00 93.75 90.00
Space group P2/m (No. 10)
Inequivalent atoms, fractional coordinates:
Sr 0.164 0.000 0.371 x2
Sr 0.245 0.000 0.946 x2
Ca 0.191 0.500 0.665 x2
Ca 0.437 0.500 0.192 x2
Ca 0.500 0.500 0.500 x1
Mg 0.060 0.500 0.134 x2

Calculated values
Crystal system: monoclinic
Energy relative to the elements in meV/atom: 38.5

A relaxed Pa2Be3CuNi12 crystal. Source: Alexandria via LeMat-Bulk, functional GGA-PBE.

Lattice parameters (Å, degrees): 8.2353 8.2353 11.7597 90.00 90.00 120.00
Space group R-3m (No. 166, hexagonal axes)
Inequivalent atoms, fractional coordinates:
Pa 0.0000 0.0000 0.1682 x6
Be 0.0000 0.5000 0.0000 x9
Cu 0.0000 0.0000 0.5000 x3
Ni 0.0008 0.5004 0.1889 x18
Ni 0.0060 0.5030 0.3900 x18

Calculated values
Crystal system: trigonal
Energy relative to the elements in meV/atom: -84.2

A relaxed Al3BOs crystal. Source: Alexandria via LeMat-Bulk, functional GGA-PBE.

Lattice parameters (Å, degrees): 4.721 4.721 4.721 90.00 90.00 90.00
Space group Pm-3m (No. 221)
Inequivalent atoms, fractional coordinates:
Al 0.000 0.000 0.500 x3
B 0.500 0.500 0.500 x1
Os 0.000 0.000 0.000 x1

Calculated values
Crystal system: cubic
Energy relative to the elements in meV/atom: 904.0
Excess energy over the best structure of this formula in the dataset in eV/atom: 0.4949

> The highest energy relative to the elements belongs to which entry?

NbTlPb3